The following is a PBE calculation of a geometry-optimized InBIr structure, from the Alexandria database.

CIF file:
```
data_InBIr
_symmetry_space_group_name_H-M 'P m m n'
_symmetry_Int_Tables_number 59
_cell_length_a 3.293
_cell_length_b 3.419
_cell_length_c 8.117
_cell_angle_alpha 90.00
_cell_angle_beta 90.00
_cell_angle_gamma 90.00
loop_
_symmetry_equiv_pos_as_xyz
'x,y,z'
'-x,-y,-z'
'-x+1/2,-y+1/2,z'
'x+1/2,y+1/2,-z'
'x+1/2,-y,-z'
'-x+1/2,y,z'
'-x,y+1/2,-z'
'x,-y+1/2,z'
loop_
_atom_site_label
_atom_site_type_symbol
_atom_site_fract_x
_atom_site_fract_y
_atom_site_fract_z
In1 In 0.250 0.250 0.141
B1 B 0.250 0.750 0.504
Ir1 Ir 0.250 0.250 0.668
```


The following is a PBE calculation of a geometry-optimized In3BIr structure, from the Alexandria database.

CIF file:
```
data_In3BIr
_symmetry_space_group_name_H-M 'P m -3 m'
_symmetry_Int_Tables_number 221
_symmetry_space_group_name_Hall '-P 4 2 3'
_cell_length_a 4.602
_cell_length_b 4.602
_cell_length_c 4.602
_cell_angle_alpha 90.00
_cell_angle_beta 90.00
_cell_angle_gamma 90.00
loop_
_atom_site_label
_atom_site_type_symbol
_atom_site_fract_x
_atom_site_fract_y
_atom_site_fract_z
In1 In 0.000 0.000 0.500
B1 B 0.000 0.000 0.000
Ir1 Ir 0.500 0.500 0.500
```


The following is a PBE calculation of a geometry-optimized InBIr2 structure, from the Alexandria database.

CIF file:
```
data_InBIr2
_symmetry_space_group_name_H-M 'R 3 m'
_symmetry_Int_Tables_number 160
_symmetry_space_group_name_Hall 'R 3 -2"'
_cell_length_a 3.2815
_cell_length_b 3.2815
_cell_length_c 19.2006
_cell_angle_alpha 90.00
_cell_angle_beta 90.00
_cell_angle_gamma 120.00
loop_
_atom_site_label
_atom_site_type_symbol
_atom_site_fract_x
_atom_site_fract_y
_atom_site_fract_z
In1 In 0.0000 0.0000 0.0000
B1 B 0.0000 0.0000 0.8329
Ir1 Ir 0.0000 0.0000 0.2229
Ir2 Ir 0.0000 0.0000 0.4458
```


Number 1: energy relative to the elements -0.0630 eV per atom. Number 2: energy relative to the elements 0.8243 eV per atom. Number 3: energy relative to the elements -0.0531 eV per atom.